Computed, not measured: a relaxed HfPd5Au crystal at the PBE level of DFT. Values from VASP.

Cell and atoms, written as Quantum ESPRESSO input:
```
&SYSTEM
  ibrav = 0, nat = 7, ntyp = 3
/
ATOMIC_SPECIES
Hf 178.49 Hf.upf
Pd 106.42 Pd.upf
Au 196.97 Au.upf
ATOMIC_POSITIONS crystal
Hf 0.000 0.000 0.000
Pd 0.000 0.000 0.500
Pd 0.000 0.500 0.233
Pd 0.000 0.500 0.767
Pd 0.500 0.000 0.233
Pd 0.500 0.000 0.767
Au 0.500 0.500 0.500
CELL_PARAMETERS angstrom
3.952 0.000 0.000
0.000 3.952 0.000
0.000 0.000 7.839
```

Summary:
The volume comes out at 17.490 Å³/atom. The space-group type is P4/mmm. Its formation enthalpy at 0 K is -216 kJ/mol of formula units. As for the polymorph energy (0 for the lowest one): 0.0 meV per atom.